Entry from Alexandria: an optimized crystal structure of NpPd6Pt2 (GGA-PBE).

abc: 12.885 9.564 4.940
angles: 90.00 99.75 90.00
Space group C2/c (No. 15)
Unique sites:
Np (0.000, 0.151, 0.250)
Pd (0.057, 0.379, 0.542)
Pd (0.113, 0.121, 0.807)
Pd (0.167, 0.375, 0.089)
Pt (0.222, 0.128, 0.360)

**Polymorph energy (0 for the lowest one)**: 0.0547 eV/atom
**ΔE_f**: -0.18 eV per atom
**Total DFT energy (no corrections)**: -231.2 eV per cell